## AcTmSb2O8 (PBE-GGA)

Data for a geometry-optimized AcTmSb2O8 structure.

```
data_AcTmSb2O8
_chemical_formula_sum 'Ac2 Tm2 Sb4 O16'
_space_group_name_H-M_alt 'I -4 m 2'
_space_group_IT_number 119
_space_group_name_Hall 'I -4 -2'
_cell_length_a 7.556
_cell_length_b 7.556
_cell_length_c 6.897
_cell_angle_alpha 90.00
_cell_angle_beta 90.00
_cell_angle_gamma 90.00
loop_
_atom_site_label
_atom_site_fract_x
_atom_site_fract_y
_atom_site_fract_z
Ac1 0.000 0.000 0.000
Tm1 0.000 0.500 0.750
Sb1 0.000 0.000 0.500
Sb2 0.000 0.500 0.250
O1 0.000 0.194 0.677
O2 0.000 0.324 0.054
```

Summary:
Crystal system ... tetragonal
Energy ... -166.16 eV for the cell shown
Size of the total moment ... 0.000 μB/atom
ΔE_f (raw) ... -2.216 eV/atom